PBE KBeN, optimized geometry; raw formation energy = -489 meV per atom
1.0
5.0679 -2.8956 0.0000
5.0679 2.8956 0.0000
0.0000 0.0000 5.7946
K Be N
4 4 4
direct
0.1748 0.1748 0.0000
0.3252 0.3252 0.5000
0.6748 0.6748 0.5000
0.8252 0.8252 0.0000
0.1295 0.8705 0.6294
0.3705 0.6295 0.1294
0.6295 0.3705 0.8706
0.8705 0.1295 0.3706
0.1637 0.8363 0.3365
0.3363 0.6637 0.8365
0.6637 0.3363 0.1635
0.8363 0.1637 0.6635